# 1
# Nb3CdPd

A relaxed structure of Nb3CdPd (PBE, Alexandria via LeMat-Bulk).

Cell: 4.8782 4.8782 4.8782 Å, 90.00 90.00 90.00°
Last column: nearest neighbours and their distance in Å.
Sites, in units of the cell vectors:
1 Nb 0.0000 0.0000 0.5000  2 Pd 2.44
2 Nb 0.0000 0.5000 0.0000  2 Pd 2.44
3 Nb 0.5000 0.0000 0.0000  2 Pd 2.44
4 Cd 0.5000 0.5000 0.5000  12 Nb 3.45
5 Pd 0.0000 0.0000 0.0000  6 Nb 2.44

Its density is 7117 kg/m³. The energy above the most stable polymorph in this dataset is 0.00 eV/f.u. The value obtained for the energy of formation is 112.3 kJ per mole of atoms.

***

# 2
# NbCdPd2

A relaxed structure of NbCdPd2 (PBE, Alexandria via LeMat-Bulk).

Cell: 9.4104 9.4104 9.4104 Å, 17.91 17.91 17.91°
Last column: nearest neighbours and their distance in Å.
Sites, in units of the cell vectors:
1 Nb 0.0000 0.0000 0.0000  6 Pd 2.81, 6 Nb 2.93
2 Cd 0.1666 0.1666 0.1666  6 Pd 2.92, 6 Cd 2.93
3 Pd 0.4141 0.4141 0.4141  3 Nb 2.81, 3 Cd 2.92, 6 Pd 2.93
4 Pd 0.5858 0.5858 0.5858  3 Nb 2.81, 3 Cd 2.92, 6 Pd 2.93

Its density is 10087 kg/m³. The value obtained for the energy of formation is -21.1 kJ per mole of atoms.

***

# 3
# Nb3CdPd

A relaxed structure of Nb3CdPd (PBE, Alexandria via LeMat-Bulk).

Cell: 4.9663 4.9663 4.9663 Å, 90.00 90.00 90.00°
Last column: nearest neighbours and their distance in Å.
Sites, in units of the cell vectors:
1 Nb 0.0000 0.0000 0.5000  2 Cd 2.48
2 Nb 0.0000 0.5000 0.0000  2 Cd 2.48
3 Nb 0.5000 0.0000 0.0000  2 Cd 2.48
4 Cd 0.0000 0.0000 0.0000  6 Nb 2.48
5 Pd 0.5000 0.5000 0.5000  12 Nb 3.51

Its density is 6745 kg/m³. The energy above the most stable polymorph in this dataset is 4.36 eV/f.u. The value obtained for the energy of formation is 196.4 kJ per mole of atoms.

***

# 4
# NbCd4Pd5

A relaxed structure of NbCd4Pd5 (PBE, Alexandria via LeMat-Bulk).

Cell: 2.9987 2.9987 19.1914 Å, 90.00 90.00 90.00°
Last column: nearest neighbours and their distance in Å.
Sites, in units of the cell vectors:
1 Nb 0.0000 0.0000 0.0000  8 Pd 2.83, 4 Nb 3.00
2 Cd 0.0000 0.0000 0.2009  8 Pd 2.86-2.90, 4 Cd 3.00
3 Cd 0.0000 0.0000 0.4002  8 Pd 2.86, 4 Cd 3.00
4 Cd 0.0000 0.0000 0.5998  8 Pd 2.86, 4 Cd 3.00
5 Cd 0.0000 0.0000 0.7991  8 Pd 2.86-2.90, 4 Cd 3.00
6 Pd 0.5000 0.5000 0.0977  4 Nb 2.83, 4 Cd 2.90, 4 Pd 3.00
7 Pd 0.5000 0.5000 0.3005  8 Cd 2.86, 4 Pd 3.00
8 Pd 0.5000 0.5000 0.5000  8 Cd 2.86, 4 Pd 3.00
9 Pd 0.5000 0.5000 0.6995  8 Cd 2.86, 4 Pd 3.00
10 Pd 0.5000 0.5000 0.9023  4 Nb 2.83, 4 Cd 2.90, 4 Pd 3.00

Its density is 10341 kg/m³. The value obtained for the energy of formation is -36.1 kJ per mole of atoms.

***

# 5
# NbCd3Pd12

A relaxed structure of NbCd3Pd12 (PBE, Alexandria via LeMat-Bulk).

Cell: 4.0088 4.0088 16.1404 Å, 90.00 90.00 90.00°
Last column: nearest neighbours and their distance in Å.
Sites, in units of the cell vectors:
1 Nb 0.0000 0.0000 0.0000  12 Pd 2.77-2.83
2 Cd 0.0000 0.0000 0.2491  12 Pd 2.84-2.91
3 Cd 0.0000 0.0000 0.5000  12 Pd 2.83-2.85
4 Cd 0.0000 0.0000 0.7509  12 Pd 2.84-2.91
5 Pd 0.0000 0.5000 0.1181  2 Nb 2.77, 8 Pd 2.77-2.87, 2 Cd 2.91
6 Pd 0.0000 0.5000 0.3741  8 Pd 2.83-2.88, 4 Cd 2.84-2.85
7 Pd 0.0000 0.5000 0.6259  8 Pd 2.83-2.88, 4 Cd 2.84-2.85
8 Pd 0.0000 0.5000 0.8819  2 Nb 2.77, 8 Pd 2.77-2.87, 2 Cd 2.91
9 Pd 0.5000 0.0000 0.1181  2 Nb 2.77, 8 Pd 2.77-2.87, 2 Cd 2.91
10 Pd 0.5000 0.0000 0.3741  8 Pd 2.83-2.88, 4 Cd 2.84-2.85
11 Pd 0.5000 0.0000 0.6259  8 Pd 2.83-2.88, 4 Cd 2.84-2.85
12 Pd 0.5000 0.0000 0.8819  2 Nb 2.77, 8 Pd 2.77-2.87, 2 Cd 2.91
13 Pd 0.5000 0.5000 0.0000  8 Pd 2.77, 4 Nb 2.83
14 Pd 0.5000 0.5000 0.2457  4 Cd 2.84, 8 Pd 2.87-2.88
15 Pd 0.5000 0.5000 0.5000  4 Cd 2.83, 8 Pd 2.85
16 Pd 0.5000 0.5000 0.7543  4 Cd 2.84, 8 Pd 2.87-2.88

Its density is 10929 kg/m³. The value obtained for the energy of formation is -29.9 kJ per mole of atoms.

***

# 6
# NbCdPd

A relaxed structure of NbCdPd (PBE, Alexandria via LeMat-Bulk).

Cell: 2.9346 2.9346 7.2198 Å, 90.00 90.00 120.00°
Last column: nearest neighbours and their distance in Å.
Sites, in units of the cell vectors:
1 Nb 0.0000 0.0000 0.0000  3 Pd 2.78, 6 Nb 2.93, 3 Cd 3.11
2 Cd 0.3333 0.6667 0.6392  6 Cd 2.93, 3 Pd 2.95, 3 Nb 3.11
3 Pd 0.6667 0.3333 0.3046  3 Nb 2.78, 6 Pd 2.93, 3 Cd 2.95

Its density is 9613 kg/m³. The energy above the most stable polymorph in this dataset is 0.30 eV/f.u. The value obtained for the energy of formation is -7.0 kJ per mole of atoms.

***

# 7
# NbCd2Pd9

A relaxed structure of NbCd2Pd9 (PBE, Alexandria via LeMat-Bulk).

Cell: 3.9941 3.9941 12.1598 Å, 90.00 90.00 90.00°
Last column: nearest neighbours and their distance in Å.
Sites, in units of the cell vectors:
1 Nb 0.0000 0.0000 0.0000  12 Pd 2.77-2.82
2 Cd 0.0000 0.0000 0.3335  12 Pd 2.83-2.93
3 Cd 0.0000 0.0000 0.6665  12 Pd 2.83-2.93
4 Pd 0.0000 0.5000 0.1576  2 Nb 2.77, 8 Pd 2.77-2.87, 2 Cd 2.93
5 Pd 0.0000 0.5000 0.5000  8 Pd 2.82-2.90, 4 Cd 2.84
6 Pd 0.0000 0.5000 0.8424  2 Nb 2.77, 8 Pd 2.77-2.87, 2 Cd 2.93
7 Pd 0.5000 0.0000 0.1576  2 Nb 2.77, 8 Pd 2.77-2.87, 2 Cd 2.93
8 Pd 0.5000 0.0000 0.5000  8 Pd 2.82-2.90, 4 Cd 2.84
9 Pd 0.5000 0.0000 0.8424  2 Nb 2.77, 8 Pd 2.77-2.87, 2 Cd 2.93
10 Pd 0.5000 0.5000 0.0000  8 Pd 2.77, 4 Nb 2.82
11 Pd 0.5000 0.5000 0.3270  4 Cd 2.83, 8 Pd 2.87-2.90
12 Pd 0.5000 0.5000 0.6730  4 Cd 2.83, 8 Pd 2.87-2.90

Its density is 10919 kg/m³. The value obtained for the energy of formation is -32.6 kJ per mole of atoms.

***

# 8
# Nb2CdPd

A relaxed structure of Nb2CdPd (PBE, Alexandria via LeMat-Bulk).

Cell: 6.0261 6.0261 6.0261 Å, 101.30 101.30 127.46°
Last column: nearest neighbours and their distance in Å.
Sites, in units of the cell vectors:
1 Nb 0.0949 0.1250 0.4699  2 Pd 2.63, 2 Nb 2.71, 2 Cd 2.95
2 Nb 0.3750 0.9051 0.0301  2 Pd 2.63, 2 Nb 2.71, 2 Cd 2.95
3 Nb 0.6551 0.6250 0.5301  2 Pd 2.63, 2 Nb 2.71, 2 Cd 2.95
4 Nb 0.8750 0.3449 0.9699  2 Pd 2.63, 2 Nb 2.71, 2 Cd 2.95
5 Cd 0.2500 0.7500 0.5000  2 Pd 2.67, 4 Nb 2.95
6 Cd 0.5000 0.5000 0.0000  2 Pd 2.67, 4 Nb 2.95
7 Pd 0.0000 0.0000 0.0000  4 Nb 2.63, 2 Cd 2.67
8 Pd 0.7500 0.2500 0.5000  4 Nb 2.63, 2 Cd 2.67

Its density is 8628 kg/m³. The value obtained for the energy of formation is 37.2 kJ per mole of atoms.